# 1
SrLiAs2: relaxed, PBE-GGA.

Results
Total magnetic moment (Bohr magnetons per cell): 0.0
Formation energy (kcal/mol of atoms): -13.67
ΔE to the lowest computed polymorph (meV per atom): 179
Space group: P4/mmm (123)

Lattice parameters (Å, degrees): 4.580 4.580 4.313 90.00 90.00 90.00
Fractional positions:
1 As 0.500 0.500 0.000
2 As 0.000 0.000 0.000
3 Li 0.500 0.000 0.500
4 Sr 0.000 0.500 0.500


# 2
Pm2TlPb2: relaxed, PBE-GGA.

Results
Total magnetic moment (Bohr magnetons per cell): 0.0
Formation energy (kcal/mol of atoms): -5.96
ΔE to the lowest computed polymorph (meV per atom): 65
Space group: C2/c (15)

Lattice parameters (Å, degrees): 5.113 7.712 10.751 122.37 103.76 90.00
Fractional positions:
1 Tl 0.232 0.250 0.000
2 Tl 0.768 0.750 0.000
3 Pm 0.175 0.509 0.348
4 Pm 0.173 0.009 0.348
5 Pm 0.825 0.491 0.652
6 Pm 0.827 0.991 0.652
7 Pb 0.638 0.703 0.274
8 Pb 0.636 0.203 0.274
9 Pb 0.364 0.797 0.726
10 Pb 0.362 0.297 0.726


# 3
LiTl2Au2: relaxed, PBE-GGA.

Results
Total magnetic moment (Bohr magnetons per cell): 0.0
Formation energy (kcal/mol of atoms): -3.03
ΔE to the lowest computed polymorph (meV per atom): 0
Space group: P4/mbm (127)

Lattice parameters (Å, degrees): 7.320 7.320 4.342 90.00 90.00 90.00
Fractional positions:
1 Au 0.860 0.640 0.000
2 Au 0.140 0.360 0.000
3 Au 0.640 0.140 0.000
4 Au 0.360 0.860 0.000
5 Tl 0.330 0.170 0.500
6 Tl 0.830 0.330 0.500
7 Tl 0.170 0.670 0.500
8 Tl 0.670 0.830 0.500
9 Li 0.000 0.000 0.000
10 Li 0.500 0.500 0.000